[1]
A relaxed structure of Li9Cr5O12, computed with PBE+U.

## Properties
Its total DFT energy (no corrections) is -162.8 eV for the cell shown. Its space group is Cm (8).

```
data_Li9Cr5O12
_chemical_formula_sum 'Li9 Cr5 O12'
_cell_length_a 5.223
_cell_length_b 5.223
_cell_length_c 10.045
_cell_angle_alpha 93.43
_cell_angle_beta 93.43
_cell_angle_gamma 120.51
_symmetry_space_group_name_H-M 'P 1'
_symmetry_Int_Tables_number 1
loop_
_symmetry_equiv_pos_as_xyz
'x,y,z'
loop_
_atom_site_label
_atom_site_type_symbol
_atom_site_fract_x
_atom_site_fract_y
_atom_site_fract_z
Li1 Li 0.000 0.000 0.000
Li2 Li 0.055 0.611 0.056
Li3 Li 0.067 0.067 0.555
Li4 Li 0.261 0.261 0.807
Li5 Li 0.452 0.452 0.059
Li6 Li 0.461 0.906 0.557
Li7 Li 0.518 0.518 0.613
Li8 Li 0.611 0.055 0.056
Li9 Li 0.906 0.461 0.557
Cr1 Cr 0.094 0.424 0.307
Cr2 Cr 0.424 0.094 0.307
Cr3 Cr 0.590 0.929 0.806
Cr4 Cr 0.759 0.759 0.307
Cr5 Cr 0.929 0.590 0.806
O1 O 0.070 0.070 0.200
O2 O 0.116 0.785 0.415
O3 O 0.236 0.583 0.687
O4 O 0.282 0.934 0.926
O5 O 0.401 0.733 0.198
O6 O 0.448 0.448 0.413
O7 O 0.583 0.236 0.687
O8 O 0.652 0.652 0.922
O9 O 0.733 0.401 0.198
O10 O 0.785 0.116 0.415
O11 O 0.865 0.865 0.692
O12 O 0.934 0.282 0.926
```

---

[2]
A relaxed structure of Li3Cr5O12, computed with PBE+U.

## Properties
Its total DFT energy (no corrections) is -542.0 eV for the cell shown. Its space group is Ia-3d (230).

```
data_Li3Cr5O12
_chemical_formula_sum 'Li12 Cr20 O48'
_cell_length_a 10.476
_cell_length_b 10.476
_cell_length_c 10.476
_cell_angle_alpha 109.47
_cell_angle_beta 109.47
_cell_angle_gamma 109.47
_symmetry_space_group_name_H-M 'P 1'
_symmetry_Int_Tables_number 1
loop_
_symmetry_equiv_pos_as_xyz
'x,y,z'
loop_
_atom_site_label
_atom_site_type_symbol
_atom_site_fract_x
_atom_site_fract_y
_atom_site_fract_z
Li1 Li 0.125 0.250 0.375
Li2 Li 0.125 0.375 0.750
Li3 Li 0.250 0.375 0.125
Li4 Li 0.250 0.875 0.625
Li5 Li 0.375 0.125 0.250
Li6 Li 0.375 0.750 0.125
Li7 Li 0.625 0.250 0.875
Li8 Li 0.625 0.875 0.750
Li9 Li 0.750 0.125 0.375
Li10 Li 0.750 0.625 0.875
Li11 Li 0.875 0.625 0.250
Li12 Li 0.875 0.750 0.625
Cr1 Cr 0.000 0.000 0.000
Cr2 Cr 0.000 0.000 0.500
Cr3 Cr 0.000 0.500 0.000
Cr4 Cr 0.000 0.500 0.500
Cr5 Cr 0.125 0.750 0.875
Cr6 Cr 0.125 0.875 0.250
Cr7 Cr 0.250 0.125 0.875
Cr8 Cr 0.250 0.625 0.375
Cr9 Cr 0.375 0.250 0.625
Cr10 Cr 0.375 0.625 0.750
Cr11 Cr 0.500 0.000 0.000
Cr12 Cr 0.500 0.000 0.500
Cr13 Cr 0.500 0.500 0.000
Cr14 Cr 0.500 0.500 0.500
Cr15 Cr 0.625 0.375 0.250
Cr16 Cr 0.625 0.750 0.375
Cr17 Cr 0.750 0.375 0.625
Cr18 Cr 0.750 0.875 0.125
Cr19 Cr 0.875 0.125 0.750
Cr20 Cr 0.875 0.250 0.125
O1 O 0.019 0.206 0.117
O2 O 0.019 0.312 0.902
O3 O 0.090 0.706 0.688
O4 O 0.090 0.883 0.402
O5 O 0.098 0.617 0.410
O6 O 0.098 0.981 0.688
O7 O 0.117 0.019 0.206
O8 O 0.117 0.598 0.910
O9 O 0.188 0.206 0.590
O10 O 0.188 0.481 0.598
O11 O 0.206 0.117 0.019
O12 O 0.206 0.590 0.188
O13 O 0.294 0.312 0.910
O14 O 0.294 0.481 0.383
O15 O 0.312 0.902 0.019
O16 O 0.312 0.910 0.294
O17 O 0.383 0.294 0.481
O18 O 0.383 0.590 0.902
O19 O 0.402 0.090 0.883
O20 O 0.402 0.812 0.519
O21 O 0.410 0.098 0.617
O22 O 0.410 0.812 0.794
O23 O 0.481 0.383 0.294
O24 O 0.481 0.598 0.188
O25 O 0.519 0.402 0.812
O26 O 0.519 0.617 0.706
O27 O 0.590 0.188 0.206
O28 O 0.590 0.902 0.383
O29 O 0.598 0.188 0.481
O30 O 0.598 0.910 0.117
O31 O 0.617 0.410 0.098
O32 O 0.617 0.706 0.519
O33 O 0.688 0.090 0.706
O34 O 0.688 0.098 0.981
O35 O 0.706 0.519 0.617
O36 O 0.706 0.688 0.090
O37 O 0.794 0.410 0.812
O38 O 0.794 0.883 0.981
O39 O 0.812 0.519 0.402
O40 O 0.812 0.794 0.410
O41 O 0.883 0.402 0.090
O42 O 0.883 0.981 0.794
O43 O 0.902 0.019 0.312
O44 O 0.902 0.383 0.590
O45 O 0.910 0.117 0.598
O46 O 0.910 0.294 0.312
O47 O 0.981 0.688 0.098
O48 O 0.981 0.794 0.883
```

---

[3]
A relaxed structure of LiCr2O4, computed with PBE+U.

## Properties
The density of states at the Fermi level is 1.60 states/eV/f.u. Its space group is Amm2 (38). Its distance to the lowest polymorph of the same formula is 196 meV per atom.

```
data_LiCr2O4
_chemical_formula_sum 'Li1 Cr2 O4'
_cell_length_a 2.926
_cell_length_b 5.098
_cell_length_c 5.098
_cell_angle_alpha 77.72
_cell_angle_beta 90.00
_cell_angle_gamma 90.00
_symmetry_space_group_name_H-M 'P 1'
_symmetry_Int_Tables_number 1
loop_
_symmetry_equiv_pos_as_xyz
'x,y,z'
loop_
_atom_site_label
_atom_site_type_symbol
_atom_site_fract_x
_atom_site_fract_y
_atom_site_fract_z
Li1 Li 0.000 0.000 0.000
Cr1 Cr 0.000 0.314 0.314
Cr2 Cr 0.500 0.718 0.718
O1 O 0.000 0.608 0.979
O2 O 0.000 0.979 0.608
O3 O 0.500 0.151 0.151
O4 O 0.500 0.486 0.486
```

---

| no. | calculated volume (Å³ per atom) | calculated density (g cm⁻³) |
| --- | --- | --- |
| 1 | 9.01 | 3.65 |
| 2 | 11.06 | 3.55 |
| 3 | 10.62 | 3.91 |